Pr3Sb3H2 | PBE-GGA | optimized geometry

Computed properties:
DFT total energy = -79.0 eV/cell
DOS at the Fermi energy = 0.478 states/eV per atom
Total magnetic moment = 0.000 μB per formula unit
Crystal system = orthorhombic

Lattice parameters (Å, degrees): 4.207 6.299 15.528 90.00 90.00 109.51
Sites, in units of the cell vectors:
Pr (0.643, 0.286, 0.448)
Pr (0.357, 0.714, 0.948)
Pr (0.643, 0.286, 0.052)
Pr (0.357, 0.714, 0.552)
Pr (0.340, 0.680, 0.250)
Pr (0.660, 0.320, 0.750)
Sb (0.932, 0.865, 0.394)
Sb (0.068, 0.135, 0.894)
Sb (0.932, 0.865, 0.106)
Sb (0.068, 0.135, 0.606)
Sb (0.619, 0.238, 0.250)
Sb (0.381, 0.762, 0.750)
H (0.770, 0.539, 0.934)
H (0.230, 0.461, 0.434)
H (0.770, 0.539, 0.566)
H (0.230, 0.461, 0.066)